(one)
Computed, not measured: crystalline TbPmPr2 at its relaxed geometry at the GGA-PBE level of DFT.

Magnetization in μB per cell: 0.00
Density in g cm⁻³: 7.0
SG: P4/mmm, No. 123

a b c (Å): 5.183 5.183 5.158
angles (deg): 90.00 90.00 90.00
Positions (direct):
Tb 0.000 0.000 0.000
Pm 0.500 0.500 0.000
Pr 0.000 0.500 0.500
Pr 0.500 0.000 0.500

(two)
Computed, not measured: crystalline TbPmPr2 at its relaxed geometry at the GGA-PBE level of DFT.

Magnetization in μB per cell: 0.00
Density in g cm⁻³: 7.0
SG: Fm-3m, No. 225

a b c (Å): 5.814 5.814 5.814
angles (deg): 60.00 60.00 60.00
Positions (direct):
Tb 0.000 0.000 0.000
Pm 0.500 0.500 0.500
Pr 0.250 0.250 0.250
Pr 0.750 0.750 0.750

If you had to name the least stable structure above, which would it be? It would be (two).